A | Below is a relaxed LaCuS2N crystal, with properties calculated at the PBE level.

Lattice parameters (Å, degrees): 5.607 5.607 4.320 90.00 90.00 90.00
Space group P4/mmm (No. 123)
Unique sites:
La 0.000 0.000 0.000 x1
Cu 0.500 0.500 0.500 x1
S 0.000 0.500 0.000 x2
N 0.000 0.000 0.500 x1

---

B | Below is a relaxed LaCuS2N crystal, with properties calculated at the PBE level.

Lattice parameters (Å, degrees): 4.767 4.767 3.840 90.00 90.00 90.00
Space group P4/mmm (No. 123)
Unique sites:
La 0.000 0.000 0.000 x1
Cu 0.500 0.500 0.500 x1
S 0.000 0.500 0.500 x2
N 0.500 0.500 0.000 x1

---

Out of the structures above, which one is the least stable? Solution: A.